Ba4Nb3Se12 (GGA-PBEsol, optimized geometry); total magnetization = 0.003 μB/cell; distance to the lowest polymorph of the same formula = 0.716 eV per formula unit; energy relative to the elements, uncorrected = -1.190 eV per atom
1.0
5.8724 0.0000 -0.0258
0.0000 6.8391 0.0000
-0.0936 0.0000 12.2090
Se Nb Ba
12 3 4
Cartesian
4.3541 5.2603 5.0163
4.2421 1.7808 11.1663
4.2421 5.0583 11.1663
1.4248 5.2603 7.1669
1.5367 1.7808 1.0169
1.4248 1.5789 7.1669
4.3584 0.0000 2.0645
1.4204 0.0000 10.1188
4.3647 3.4196 8.2456
1.5367 5.0583 1.0169
4.3541 1.5789 5.0163
1.4141 3.4196 3.9377
-0.0468 3.4196 6.1045
0.0000 0.0000 0.0000
2.8894 3.4196 6.0916
4.3654 0.0000 8.3494
4.4308 3.4196 1.8779
1.3480 3.4196 10.3054
1.4134 0.0000 3.8339

Ba4Nb3Se12 (GGA-PBEsol, optimized geometry); total magnetization = 0.000 μB/cell; distance to the lowest polymorph of the same formula = 0.000 eV per formula unit; energy relative to the elements, uncorrected = -1.227 eV per atom
1.0
-3.5477 -2.5668 -5.2653
3.7269 -7.7247 -3.1988
-6.3281 -6.0343 2.7520
Nb Se Ba
3 12 4
Cartesian
-7.0629 -9.0828 -4.1737
0.0000 0.0000 0.0000
0.9140 -7.2430 -1.5384
-5.8832 -7.8788 1.0103
-4.6765 -4.2565 -3.6809
-5.8715 -11.2026 -3.9431
-0.2774 -5.1232 -1.7690
-0.9810 -8.7363 -1.8896
-0.2657 -8.4470 -6.7224
-2.6518 -9.9451 -4.3694
-5.1679 -7.5895 -3.8225
-3.4971 -6.3807 -1.3427
-7.5659 -9.0963 -1.4871
-1.4724 -12.0693 -2.0312
1.4170 -7.2295 -4.2250
-3.2130 -13.3929 -4.6666
-2.9359 -2.9329 -1.0455
-1.9641 -6.4846 -4.4223
-4.1848 -9.8412 -1.2898

BaNb2ZnSe (GGA-PBEsol, optimized geometry); total magnetization = 0.004 μB/cell; energy relative to the elements, uncorrected = 0.635 eV per atom
1.0
4.8089 0.0000 0.0000
0.0000 4.8089 0.0000
0.0000 0.0000 5.9144
Nb Ba Se Zn
2 1 1 1
Cartesian
2.4044 0.0000 0.0000
0.0000 2.4044 0.0000
0.0000 0.0000 2.9572
0.0000 0.0000 0.0000
2.4044 2.4044 2.9572

BaNbSi2Te (GGA-PBEsol, optimized geometry); total magnetization = 2.901 μB/cell; energy relative to the elements, uncorrected = 2.004 eV per atom
1.0
-2.1195 4.7064 -1.4734
-4.9280 -2.0823 0.4376
-0.2115 1.7175 5.7906
Si Ba Te Nb
2 1 1 1
Cartesian
-2.4640 -1.0412 0.2188
-1.0597 2.3532 -0.7367
0.0000 0.0000 0.0000
-0.1058 0.8587 2.8953
-3.6295 2.1708 2.3774

BaSr3Nb (GGA-PBEsol, optimized geometry); total magnetization = 0.002 μB/cell; DFT formation energy = 0.704 eV per atom
1.0
6.0341 0.0000 0.0000
0.0000 6.0341 0.0000
0.0000 0.0000 6.0341
Sr Nb Ba
3 1 1
Cartesian
0.0000 0.0000 3.0170
3.0170 0.0000 0.0000
0.0000 3.0170 0.0000
0.0000 0.0000 0.0000
3.0170 3.0170 3.0170

Ba3TaNb (GGA-PBEsol, optimized geometry); total magnetization = 4.122 μB/cell; DFT formation energy = 1.762 eV per atom
1.0
5.8271 0.0000 0.0000
0.0000 5.8271 0.0000
0.0000 0.0000 5.8271
Ba Nb Ta
3 1 1
Cartesian
0.0000 0.0000 2.9136
0.0000 2.9136 0.0000
2.9136 0.0000 0.0000
0.0000 0.0000 0.0000
2.9136 2.9136 2.9136

BaNb2W (GGA-PBEsol, optimized geometry); total magnetization = 0.000 μB/cell; DFT formation energy = 1.099 eV per atom
1.0
-3.9793 2.5996 -0.9051
-4.0659 -2.2118 -1.4101
-3.7861 -0.2470 3.0027
Nb W Ba
2 1 1
Cartesian
-8.8734 0.1056 0.5157
-2.9578 0.0352 0.1719
-5.9156 0.0704 0.3438
0.0000 0.0000 0.0000

Ba2NbW2 (GGA-PBEsol, optimized geometry); total magnetization = 0.000 μB/cell; DFT formation energy = 1.772 eV per atom
1.0
4.1164 0.0000 0.0000
0.0000 4.1164 0.0000
-2.0582 -2.0582 7.5899
Ba W Nb
2 2 1
Cartesian
0.0000 2.0582 3.7950
2.0582 0.0000 3.7950
0.0000 0.0000 6.4905
2.0582 2.0582 1.0994
0.0000 0.0000 0.0000

BaZrNb2 (GGA-PBEsol, optimized geometry); total magnetization = 0.000 μB/cell; DFT formation energy = 0.949 eV per atom
1.0
-2.6540 -4.1886 -0.6828
-0.5310 -3.2666 3.7553
-4.4445 -0.5395 2.2382
Nb Ba Zr
2 1 1
Cartesian
-5.7221 -5.9960 3.9830
-1.9074 -1.9987 1.3277
-3.8148 -3.9973 2.6553
0.0000 0.0000 0.0000

BaNd2NiO5 (GGA-PBEsol, optimized geometry); total magnetization = 1.305 μB/cell; energy relative to the elements, uncorrected = -2.604 eV per atom
1.0
3.7906 0.0000 0.0000
0.0000 5.8849 0.0000
-1.8953 -2.9425 5.7970
Ba O Ni Nd
1 5 1 2
Cartesian
1.8953 2.9425 0.0000
1.8953 1.5237 4.1348
0.0000 1.4187 1.6622
1.8953 -1.5237 4.1348
0.0000 4.4662 1.6622
1.8953 0.0000 0.0000
0.0000 0.0000 0.0000
1.8953 0.0000 2.3361
0.0000 2.9425 3.4610

BaNd2PdO5 (GGA-PBEsol, optimized geometry); total magnetization = 0.000 μB/cell; energy relative to the elements, uncorrected = -2.653 eV per atom
1.0
5.8760 0.0000 0.0000
0.0000 6.7139 0.0000
0.0000 0.0000 6.7139
Nd Pd O Ba
4 2 10 2
Cartesian
2.9380 4.5162 1.1593
2.9380 1.1593 2.1977
2.9380 5.5546 4.5162
2.9380 2.1977 5.5546
0.0000 0.0000 3.3569
0.0000 3.3569 0.0000
4.4049 2.4135 0.9434
2.9380 3.3569 3.3569
1.4711 5.7704 2.4135
4.4049 4.3004 5.7704
4.4049 0.9434 4.3004
1.4711 2.4135 0.9434
1.4711 4.3004 5.7704
2.9380 0.0000 0.0000
1.4711 0.9434 4.3004
4.4049 5.7704 2.4135
0.0000 3.3569 3.3569
0.0000 0.0000 0.0000

Ba2NdReO6 (GGA-PBEsol, optimized geometry); total magnetization = 0.373 μB/cell; energy relative to the elements, uncorrected = -2.569 eV per atom
1.0
6.0131 0.0000 0.0000
3.0066 5.2075 0.0000
3.0066 1.7358 4.9097
O Ba Re Nd
6 2 1 1
Cartesian
4.3867 4.4107 1.1269
6.0131 1.5937 1.1269
4.3867 2.5327 3.7828
6.0131 5.3497 3.7828
7.6395 2.5327 3.7828
7.6395 4.4107 1.1269
3.0066 1.7358 1.2274
9.0197 5.2075 3.6823
0.0000 0.0000 0.0000
6.0131 3.4717 2.4548